No. 1
This record from Alexandria via LeMat-Bulk describes PrSm3Os after structural relaxation. The functional is PBE.

Summary:
DFT formation energy (meV/atom): -18
Polymorph energy (0 for the lowest one) (eV per atom): 0.072
DOS(E_F) (states/eV per atom): 1.07

Cell and atoms, written as extended XYZ:
```
20
Lattice="7.720 0.000 0.000 0.000 7.499 0.000 -1.843 0.000 10.478" Properties=species:S:1:pos:R:3 pbc="T T T"
Pr 1.310 0.154 2.728
Pr 0.389 3.596 7.967
Pr 5.488 3.903 2.511
Pr 4.566 7.345 7.750
Sm 0.484 5.454 0.336
Sm -0.438 5.794 5.575
Sm 1.775 3.929 3.787
Sm 0.853 7.319 9.026
Sm 1.807 0.991 6.044
Sm 2.728 2.758 0.805
Sm 3.148 4.740 9.673
Sm 4.070 6.508 4.434
Sm 5.023 0.180 1.452
Sm 4.102 3.569 6.691
Sm 6.314 1.704 4.903
Sm 5.393 2.045 10.142
Os 3.148 5.580 1.315
Os 2.226 5.668 6.554
Os 3.650 1.831 3.924
Os 2.728 1.919 9.163
```

=====

No. 2
This record from Alexandria via LeMat-Bulk describes Pr3SnOs after structural relaxation. The functional is PBE.

Summary:
DFT formation energy (meV/atom): -102
DOS(E_F) (states/eV per atom): 0.64

Cell and atoms, written as extended XYZ:
```
5
Lattice="5.534 0.000 0.000 0.000 5.534 0.000 0.000 0.000 5.534" Properties=species:S:1:pos:R:3 pbc="T T T"
Pr 0.000 0.000 2.767
Pr 0.000 2.767 0.000
Pr 2.767 0.000 0.000
Sn 2.767 2.767 2.767
Os 0.000 0.000 0.000
```

=====

No. 3
This record from Alexandria via LeMat-Bulk describes Pr6Sn2Os after structural relaxation. The functional is PBE.

Summary:
DFT formation energy (meV/atom): -418
DOS(E_F) (states/eV per atom): 1.10

Cell and atoms, written as extended XYZ:
```
9
Lattice="4.441 0.000 0.000 0.000 7.295 4.256 0.000 -7.295 4.256" Properties=species:S:1:pos:R:3 pbc="T T T"
Pr 0.000 0.000 0.000
Pr 0.000 -1.706 5.399
Pr 0.000 1.706 5.399
Pr 2.221 -4.354 3.875
Pr 2.221 0.000 2.935
Pr 2.221 4.354 3.875
Sn 0.000 -2.456 2.168
Sn 0.000 2.456 2.168
Os 2.221 0.000 6.560
```

=====

No. 4
This record from Alexandria via LeMat-Bulk describes Pr6SnOs2 after structural relaxation. The functional is PBE.

Summary:
DFT formation energy (meV/atom): -235
DOS(E_F) (states/eV per atom): 0.90

Cell and atoms, written as extended XYZ:
```
18
Lattice="-4.941 5.012 5.368 4.941 -5.012 5.368 4.941 5.012 -5.368" Properties=species:S:1:pos:R:3 pbc="T T T"
Pr 4.941 2.953 -2.790
Pr 2.775 1.851 0.000
Pr 7.107 1.851 0.000
Pr 1.829 5.012 -1.835
Pr 3.112 0.000 3.533
Pr 0.000 2.060 2.578
Pr 4.941 2.953 2.790
Pr 1.829 5.012 1.835
Pr 3.112 0.000 7.202
Pr -2.166 3.161 5.368
Pr 2.166 3.161 5.368
Pr 0.000 2.060 8.158
Sn 0.000 0.000 0.000
Sn 0.000 0.000 5.368
Os 4.941 0.000 1.249
Os 0.000 3.281 0.000
Os 0.000 6.744 0.000
Os 0.000 5.012 4.119
```